No. 1
B3PtSe, relaxed, DFT PBE-GGA; space-group type = Pm-3m (221); total magnetization = 0.00 μB/f.u.; uncorrected formation energy = 1.102 eV per atom; energy = -24.0 eV/f.u.; polymorph energy (0 for the lowest one) = 0 meV/atom; calculated volume = 14.70 Å³/atom
1.0
-0.014 0.068 4.189
-2.074 -3.639 0.052
3.640 -2.074 0.046
B Pt Se
3 1 1
Cartesian
-0.007 0.034 2.094 B
-1.037 -1.820 0.026 B
1.820 -1.037 0.023 B
0.000 0.000 0.000 Pt
0.776 -2.823 2.143 Se

---

No. 2
SrDy2In3, relaxed, DFT PBE-GGA; space-group type = P4/mmm (123); E_form = -10.26 kcal/mol of atoms; total magnetization = 0.00 μB/f.u.; energy = -21.8 eV/f.u.; calculated volume = 28.80 Å³/atom
1.0
-0.994 1.136 3.533
-3.552 0.767 -1.247
-3.274 -10.939 2.597
In Dy Sr
3 2 1
Cartesian
0.000 0.000 0.000 In
-2.258 -7.546 1.792 In
-1.015 -3.393 0.806 In
-5.031 -8.265 3.331 Dy
-2.789 -0.770 1.552 Dy
-3.910 -4.518 2.442 Sr

---

No. 3
PmHoGaCo, relaxed, DFT PBE-GGA; space-group type = Amm2 (38); E_form = -7.99 kcal/mol of atoms; total magnetization = 0.00 μB/f.u.; energy = -20.8 eV/f.u.; polymorph energy (0 for the lowest one) = 0 meV/atom; calculated volume = 22.41 Å³/atom
1.0
4.145 0.000 0.000
0.000 4.158 0.000
-2.072 0.000 5.201
Ho Pm Ga Co
1 1 1 1
Cartesian
2.072 2.079 3.761 Ho
0.000 0.000 1.528 Pm
2.072 2.079 0.638 Ga
0.000 0.000 4.476 Co

---

No. 4
La2Sm4Y7, relaxed, DFT PBE-GGA; space-group type = P-31m (162); E_form = 3.91 kcal/mol of atoms; total magnetization = 0.00 μB/f.u.; energy = -71.8 eV/f.u.; calculated volume = 34.15 Å³/atom
1.0
-3.494 0.454 5.056
-2.221 -2.759 -5.043
4.786 -11.838 4.370
Sm Y La
4 7 2
Cartesian
-0.252 -7.607 0.508 Sm
1.887 -4.667 1.723 Sm
2.899 -7.171 2.647 Sm
-0.677 -6.536 3.875 Sm
-0.204 -2.393 2.731 Y
0.247 -3.530 -0.841 Y
1.495 -8.991 6.695 Y
-2.661 -4.044 0.951 Y
1.731 -10.100 3.432 Y
0.000 0.000 0.000 Y
2.318 -11.067 0.168 Y
-2.645 -1.688 -1.677 La
-3.070 -0.617 1.690 La

---

No. 5
Eu2BiIr, relaxed, DFT PBE-GGA; space-group type = R-3m (166); E_form = -2.99 kcal/mol of atoms; total magnetization = 13.59 μB/f.u.; energy = -33.8 eV/f.u.; calculated volume = 34.13 Å³/atom
1.0
3.974 0.000 0.000
1.987 3.442 0.000
1.987 1.147 9.982
Eu Ir Bi
2 1 1
Cartesian
1.987 1.147 6.659 Eu
5.961 3.442 3.323 Eu
3.974 2.294 4.991 Ir
0.000 0.000 0.000 Bi

---

No. 6
NpTi2Nb, relaxed, DFT PBE-GGA; space-group type = P4/mmm (123); E_form = 5.77 kcal/mol of atoms; total magnetization = 4.38 μB/f.u.; energy = -37.8 eV/f.u.; calculated volume = 18.76 Å³/atom
1.0
3.317 0.000 0.000
0.000 3.317 0.000
0.000 0.000 6.818
Ti Nb Np
2 1 1
Cartesian
0.000 0.000 4.945 Ti
0.000 0.000 1.874 Ti
1.659 1.659 3.409 Nb
1.659 1.659 0.000 Np

---

Repeat the fourth record exactly.
La2Sm4Y7, relaxed, DFT PBE-GGA; space-group type = P-31m (162); E_form = 3.91 kcal/mol of atoms; total magnetization = 0.00 μB/f.u.; energy = -71.8 eV/f.u.; calculated volume = 34.15 Å³/atom
1.0
-3.494 0.454 5.056
-2.221 -2.759 -5.043
4.786 -11.838 4.370
Sm Y La
4 7 2
Cartesian
-0.252 -7.607 0.508 Sm
1.887 -4.667 1.723 Sm
2.899 -7.171 2.647 Sm
-0.677 -6.536 3.875 Sm
-0.204 -2.393 2.731 Y
0.247 -3.530 -0.841 Y
1.495 -8.991 6.695 Y
-2.661 -4.044 0.951 Y
1.731 -10.100 3.432 Y
0.000 0.000 0.000 Y
2.318 -11.067 0.168 Y
-2.645 -1.688 -1.677 La
-3.070 -0.617 1.690 La

---

Which formula does entry 6 have?
NpTi2Nb